1.
DFT (PBE) results for a relaxed structure of Pu4Cu2N.

## Properties
Crystal system: tetragonal
Raw total energy in eV/atom: -10.647
Size of the total moment in μB/cell: 45.75
DOS at the Fermi energy in states/eV per atom: 4.339
E_form (uncorrected) in eV per atom: -0.10
Density in g cm⁻³: 11.86

Geometry as CIF:
```
data_Pu4Cu2N
_symmetry_space_group_name_H-M 'I 4/m m m'
_symmetry_Int_Tables_number 139
_symmetry_space_group_name_Hall '-I 4 2'
_cell_length_a 4.638
_cell_length_b 4.638
_cell_length_c 14.539
_cell_angle_alpha 90.00
_cell_angle_beta 90.00
_cell_angle_gamma 90.00
loop_
_atom_site_label
_atom_site_fract_x
_atom_site_fract_y
_atom_site_fract_z
Pu1 0.000 0.000 0.176
Pu2 0.000 0.500 0.000
Cu1 0.000 0.000 0.370
N1 0.000 0.000 0.000
```

---

2.
DFT (PBE) results for a relaxed structure of PmEuGaCo.

## Properties
Crystal system: cubic
Raw total energy in eV/atom: -6.409
Size of the total moment in μB/cell: 23.80
DOS at the Fermi energy in states/eV per atom: 1.451
Energy relative to the elements in eV/atom: -0.120
Density in g cm⁻³: 7.63

Geometry as CIF:
```
data_PmEuGaCo
_symmetry_space_group_name_H-M 'F -4 3 m'
_symmetry_Int_Tables_number 216
_symmetry_space_group_name_Hall 'F -4 2 3'
_cell_length_a 7.184
_cell_length_b 7.184
_cell_length_c 7.184
_cell_angle_alpha 90.00
_cell_angle_beta 90.00
_cell_angle_gamma 90.00
loop_
_atom_site_label
_atom_site_fract_x
_atom_site_fract_y
_atom_site_fract_z
Pm1 0.000 0.000 0.000
Eu1 0.000 0.000 0.500
Ga1 0.250 0.250 0.750
Co1 0.250 0.250 0.250
```

---

3.
DFT (PBE) results for a relaxed structure of SiAg2Ru.

## Properties
Crystal system: orthorhombic
Raw total energy in eV/atom: -4.719
Size of the total moment in μB/cell: 1.79
DOS at the Fermi energy in states/eV per atom: 0.603
E_form (uncorrected) in eV per atom: 0.38
Density in g cm⁻³: 8.93

Geometry as CIF:
```
data_SiAg2Ru
_symmetry_space_group_name_H-M 'C m m m'
_symmetry_Int_Tables_number 65
_symmetry_space_group_name_Hall '-C 2 2'
_cell_length_a 5.235
_cell_length_b 8.780
_cell_length_c 2.789
_cell_angle_alpha 90.00
_cell_angle_beta 90.00
_cell_angle_gamma 90.00
loop_
_atom_site_label
_atom_site_fract_x
_atom_site_fract_y
_atom_site_fract_z
Si1 0.000 0.000 0.000
Ag1 0.250 0.250 0.500
Ru1 0.000 0.500 0.000
```

---

- What is the DOS at the Fermi energy in the third record?
  0.603 states/eV per atom

---

Repeat the first record exactly.
DFT (PBE) results for a relaxed structure of Pu4Cu2N.

## Properties
Crystal system: tetragonal
Raw total energy in eV/atom: -10.647
Size of the total moment in μB/cell: 45.75
DOS at the Fermi energy in states/eV per atom: 4.339
E_form (uncorrected) in eV per atom: -0.10
Density in g cm⁻³: 11.86

Geometry as CIF:
```
data_Pu4Cu2N
_symmetry_space_group_name_H-M 'I 4/m m m'
_symmetry_Int_Tables_number 139
_symmetry_space_group_name_Hall '-I 4 2'
_cell_length_a 4.638
_cell_length_b 4.638
_cell_length_c 14.539
_cell_angle_alpha 90.00
_cell_angle_beta 90.00
_cell_angle_gamma 90.00
loop_
_atom_site_label
_atom_site_fract_x
_atom_site_fract_y
_atom_site_fract_z
Pu1 0.000 0.000 0.176
Pu2 0.000 0.500 0.000
Cu1 0.000 0.000 0.370
N1 0.000 0.000 0.000
```